A relaxed structure of BaLa2Mg, computed with PBEsol.

Results
VASP energy   -3.612 eV per atom
SG   P4mm

Lattice parameters (Å, degrees): 3.8214 3.8214 9.9722 90.00 90.00 90.00
With the nearest neighbours (Å) after each atom.
Fractional coordinates of all 4 atoms:
Mg: 0.0000 0.0000 0.4749  4 La 3.41, 4 Ba 3.68
Ba: 0.5000 0.5000 0.7252  4 Mg 3.68, 4 Ba 3.82, 4 La 4.09
La: 0.0000 0.0000 0.0337  8 La 3.56-3.82
La: 0.5000 0.5000 0.2661  4 Mg 3.41, 4 La 3.56

A relaxed structure of Ba2LaMg, computed with PBEsol.

Results
VASP energy   -2.697 eV per atom
SG   P2/m

Lattice parameters (Å, degrees): 3.8336 5.5462 7.6084 90.00 93.14 90.00
With the nearest neighbours (Å) after each atom.
Fractional coordinates of all 4 atoms:
Ba: 0.9869 0.0000 0.7432  4 Ba 3.71-3.90, 4 Mg 3.77-3.92, 4 La 3.87-3.92
Ba: 0.0131 0.0000 0.2568  4 Ba 3.71-3.90, 4 Mg 3.77-3.92, 4 La 3.87-3.92
La: 0.5000 0.5000 0.0000  2 Mg 3.80, 2 La 3.83, 8 Ba 3.87-3.92
Mg: 0.5000 0.5000 0.5000  8 Ba 3.77-3.92, 2 La 3.80, 2 Mg 3.83

A relaxed structure of BaLa2Mg, computed with PBEsol.

Results
VASP energy   -3.524 eV per atom
SG   I4/mmm

Lattice parameters (Å, degrees): 5.1142 5.1142 6.3908 113.59 113.59 90.00
With the nearest neighbours (Å) after each atom.
Fractional coordinates of all 4 atoms:
Ba: 0.0000 0.0000 0.0000  4 Mg 3.62, 8 La 3.67
La: 0.7500 0.2500 0.5000  4 La 3.62, 4 Mg 3.67, 4 Ba 3.67
La: 0.2500 0.7500 0.5000  4 La 3.62, 4 Mg 3.67, 4 Ba 3.67
Mg: 0.5000 0.5000 0.0000  4 Ba 3.62, 8 La 3.67

A relaxed structure of BaLa7Mg5Nb3O24, computed with PBEsol.

Results
ΔE_f (raw)   -3.09 eV/atom
SG   P1

Lattice parameters (Å, degrees): 5.6331 9.7489 9.7879 80.52 90.36 73.26
With the nearest neighbours (Å) after each atom.
Fractional coordinates of all 40 atoms:
Ba: 0.6865 0.6238 0.5666  5 O 2.53-2.72
La: 0.5529 0.9004 0.1774  5 O 2.38-2.60
La: 0.0668 0.8807 0.6765  5 O 2.35-2.55
La: 0.8416 0.3544 0.9523  2 O 2.30-2.39
La: 0.3172 0.3660 0.4133  5 O 2.35-2.50
La: 0.1889 0.6070 0.0724  5 O 2.36-2.58
La: 0.9206 0.1342 0.3049  4 O 2.30-2.54
La: 0.4398 0.1344 0.8268  5 O 2.37-2.50
Mg: 0.0075 0.9957 0.9993  6 O 2.03-2.09
Mg: 0.4981 0.0032 0.4979  6 O 2.03-2.11
Mg: 0.3771 0.2511 0.1221  6 O 2.03-2.08
Mg: 0.2500 0.4978 0.7535  6 O 2.01-2.16
Mg: 0.7473 0.5041 0.2477  6 O 2.03-2.11
Nb: 0.1224 0.7487 0.3725  6 O 1.95-2.03
Nb: 0.6271 0.7508 0.8784  6 O 1.96-2.03
Nb: 0.8770 0.2506 0.6254  6 O 1.98-2.03
O: 0.8502 0.9007 0.4415  1 Nb 2.01, 1 Mg 2.07
O: 0.0335 0.8427 0.1745  1 Nb 2.00, 1 Mg 2.05
O: 0.1946 0.6582 0.5761  1 Nb 2.03, 1 Mg 2.09
O: 0.3468 0.8754 0.3883  1 Nb 2.03, 1 Mg 2.11
O: 0.3879 0.6376 0.8581  1 Nb 2.00, 1 Mg 2.14
O: 0.6115 0.3816 0.7142  1 Nb 1.98, 1 Mg 2.10
O: 0.3665 0.9069 0.9524  1 Nb 2.02, 1 Mg 2.05
O: 0.5137 0.8611 0.6850  1 Nb 2.02, 1 Mg 2.09
O: 0.7121 0.6673 0.0778  1 Nb 1.99, 1 Mg 2.07
O: 0.1166 0.3647 0.6346  1 Nb 1.99, 1 Mg 2.16
O: 0.9017 0.5978 0.8231  1 Nb 1.96, 1 Mg 2.10
O: 0.8630 0.8727 0.8845  1 Nb 2.03, 1 Mg 2.09
O: 0.0931 0.4018 0.1951  2 Mg 2.03-2.06
O: 0.9187 0.6228 0.3465  1 Nb 1.95, 1 Mg 2.05
O: 0.1403 0.1238 0.1082  2 Mg 2.06-2.08, 1 La 2.30
O: 0.2650 0.3472 0.9225  2 Mg 2.01-2.03
O: 0.4855 0.1513 0.3240  2 Mg 2.03-2.06
O: 0.5999 0.3840 0.1402  2 Mg 2.03-2.07
O: 0.4011 0.5976 0.3087  1 Nb 2.00, 1 Mg 2.04
O: 0.6590 0.1008 0.0469  2 Mg 2.03-2.06
O: 0.6586 0.1212 0.6132  1 Nb 2.01, 1 Mg 2.10
O: 0.7673 0.3497 0.4296  1 Nb 2.00, 1 Mg 2.11
O: 0.9986 0.1413 0.8165  1 Nb 2.00, 1 Mg 2.08
O: 0.1381 0.1025 0.5408  1 Nb 2.03, 1 Mg 2.06

A relaxed structure of Ba9La3Mg5Nb7O36, computed with PBEsol.

Results
ΔE_f (raw)   -2.92 eV/atom
SG   Pmm2

Lattice parameters (Å, degrees): 5.7433 8.1943 17.2557 90.00 90.00 90.00
With the nearest neighbours (Å) after each atom.
Fractional coordinates of all 60 atoms:
Ba: 0.0000 0.7419 0.0000  12 O 2.86-2.96
Ba: 0.5000 0.2573 0.8292  12 O 2.86-2.99
Ba: 0.5000 0.7437 0.8293  12 O 2.81-2.95
Ba: 0.0000 0.2460 0.6624  12 O 2.80-2.99
Ba: 0.5000 0.7467 0.5000  12 O 2.81-2.94
Ba: 0.5000 0.2573 0.1708  12 O 2.86-2.99
Ba: 0.0000 0.2460 0.3376  12 O 2.80-2.99
Ba: 0.5000 0.7437 0.1707  12 O 2.81-2.95
Ba: 0.0000 0.2553 0.0000  12 O 2.84-2.94
La: 0.0000 0.7066 0.6723  5 O 2.48-2.73
La: 0.5000 0.2019 0.5000  6 O 2.48-2.77
La: 0.0000 0.7066 0.3277  5 O 2.48-2.73
Mg: 0.0000 0.4966 0.8349  6 O 2.07-2.13
Mg: 0.5000 0.9971 0.6655  6 O 2.04-2.16
Mg: 0.5000 0.9971 0.3345  6 O 2.04-2.16
Mg: 0.0000 0.5010 0.5000  6 O 2.05-2.13
Mg: 0.0000 0.4966 0.1651  6 O 2.07-2.13
Nb: 0.5000 0.9995 0.0000  6 O 2.00-2.04
Nb: 0.5000 0.5012 0.0000  6 O 1.98-2.11
Nb: 0.0000 0.9992 0.8250  4 O 1.92-2.00
Nb: 0.5000 0.5005 0.6624  6 O 1.97-2.04
Nb: 0.0000 0.9958 0.5000  6 O 1.93-2.09
Nb: 0.5000 0.5005 0.3376  6 O 1.97-2.04
Nb: 0.0000 0.9992 0.1750  4 O 1.92-2.00
O: 0.2577 0.4975 0.9186  1 Nb 1.98, 1 Mg 2.07
O: 0.5000 0.2440 0.0000  2 Nb 2.00-2.11
O: 0.7423 0.4975 0.9186  1 Nb 1.98, 1 Mg 2.07
O: 0.7539 0.0003 0.7500  1 Nb 1.92, 1 Mg 2.06
O: 0.7466 0.9953 0.9181  2 Nb 2.00-2.17
O: 0.0000 0.2390 0.8357  1 Nb 1.97, 1 Mg 2.11
O: 0.0000 0.7557 0.8286  1 Nb 2.00, 1 Mg 2.13
O: 0.2461 0.0003 0.7500  1 Nb 1.92, 1 Mg 2.06
O: 0.2534 0.9953 0.9181  2 Nb 2.00-2.17
O: 0.2424 0.5197 0.5870  1 Nb 1.98, 1 Mg 2.05
O: 0.2455 0.5099 0.7446  1 Nb 2.04, 1 Mg 2.10
O: 0.5000 0.2605 0.6583  1 Nb 1.97, 1 Mg 2.16
O: 0.5000 0.7482 0.6667  1 Nb 2.03, 1 Mg 2.04
O: 0.7576 0.5197 0.5870  1 Nb 1.98, 1 Mg 2.05
O: 0.7545 0.5099 0.7446  1 Nb 2.04, 1 Mg 2.10
O: 0.7447 0.0147 0.4215  1 Nb 2.00, 1 Mg 2.06
O: 0.7447 0.0147 0.5785  1 Nb 2.00, 1 Mg 2.06
O: 0.0000 0.2508 0.5000  1 Mg 2.05, 1 Nb 2.09
O: 0.0000 0.7606 0.5000  1 Nb 1.93, 1 Mg 2.13
O: 0.2553 0.0147 0.4215  1 Nb 2.00, 1 Mg 2.06
O: 0.2553 0.0147 0.5785  1 Nb 2.00, 1 Mg 2.06
O: 0.2455 0.5099 0.2554  1 Nb 2.04, 1 Mg 2.10
O: 0.2424 0.5197 0.4130  1 Nb 1.98, 1 Mg 2.05
O: 0.5000 0.7482 0.3333  1 Nb 2.03, 1 Mg 2.04
O: 0.5000 0.2605 0.3417  1 Nb 1.97, 1 Mg 2.16
O: 0.7545 0.5099 0.2554  1 Nb 2.04, 1 Mg 2.10
O: 0.7576 0.5197 0.4130  1 Nb 1.98, 1 Mg 2.05
O: 0.7539 0.0003 0.2500  1 Nb 1.92, 1 Mg 2.06
O: 0.7466 0.9953 0.0819  2 Nb 2.00-2.17
O: 0.0000 0.2390 0.1643  1 Nb 1.97, 1 Mg 2.11
O: 0.0000 0.7557 0.1714  1 Nb 2.00, 1 Mg 2.13
O: 0.2461 0.0003 0.2500  1 Nb 1.92, 1 Mg 2.06
O: 0.2534 0.9953 0.0819  2 Nb 2.00-2.17
O: 0.2577 0.4975 0.0814  1 Nb 1.98, 1 Mg 2.07
O: 0.5000 0.7501 0.0000  2 Nb 2.04
O: 0.7423 0.4975 0.0814  1 Nb 1.98, 1 Mg 2.07

A relaxed structure of BaLaMgRuO6, computed with PBEsol.

Results
ΔE_f (raw)   -2.40 eV/atom
SG   I-4

Lattice parameters (Å, degrees): 5.5801 5.6343 5.5801 60.32 90.00 119.68
With the nearest neighbours (Å) after each atom.
Fractional coordinates of all 10 atoms:
Ba: 0.0000 0.0000 0.0000  12 O 2.69-2.99
La: 0.5000 0.0000 0.5000  4 O 2.48
Mg: 0.2500 0.5000 0.2500  6 O 2.06-2.07
Ru: 0.7500 0.5000 0.7500  6 O 1.95
O: 0.9927 0.9854 0.5073  1 Ru 1.95, 1 Mg 2.07
O: 0.5350 0.4657 0.0550  1 Ru 1.95, 1 Mg 2.06
O: 0.0550 0.5343 0.9307  1 Ru 1.95, 1 Mg 2.06
O: 0.5073 0.0146 0.9927  1 Ru 1.95, 1 Mg 2.07
O: 0.4793 0.5343 0.5350  1 Ru 1.95, 1 Mg 2.06
O: 0.9307 0.4657 0.4793  1 Ru 1.95, 1 Mg 2.06